VASP calculation (PBE) on a relaxed Y4Ho3ScS8 crystal.

V = 330.8 Å³/f.u.
Formation energy from raw total energies = -1.961 eV per atom
DFT total energy = -6.895 eV per atom
N(E_F) = 9.782 states/eV per cell

POSCAR file:
```
Y4Ho3ScS8
1.0
-5.975 -3.264 -3.718
4.934 -4.458 -4.016
0.211 -0.002 7.755
S Ho Y Sc
8 3 4 1
direct
0.749 0.747 0.498
0.244 0.742 0.488
0.756 0.258 0.512
0.251 0.253 0.502
0.246 0.258 0.002
0.756 0.258 0.002
0.244 0.742 0.998
0.754 0.742 0.998
0.500 0.500 0.000
0.000 0.500 0.500
0.500 0.500 0.500
0.000 0.000 0.000
0.000 0.000 0.500
0.500 0.000 0.500
0.500 0.000 0.000
0.000 0.500 0.000
```